# Sm2MgCu12Ni3 (PBE-GGA, relaxed)
# Total magnetic moment in μB per formula unit: 0.00
# Energy of formation in meV per atom: 51.8
# N(E_F) in states/eV/atom: 0.404
data_Sm2MgCu12Ni3
_space_group_name_H-M_alt 'R -3 m'
_space_group_IT_number 166
_space_group_name_Hall '-R 3 2"'
_cell_length_a 8.5247
_cell_length_b 8.5247
_cell_length_c 12.3852
_cell_angle_alpha 90.00
_cell_angle_beta 90.00
_cell_angle_gamma 120.00
loop_
_atom_site_label
_atom_site_fract_x
_atom_site_fract_y
_atom_site_fract_z
_atom_site_occupancy
Sm1 0.0000 0.0000 0.2417 1
Mg1 0.0000 0.0000 0.5000 1
Cu1 0.0100 0.5050 0.2063 1
Cu2 0.0468 0.5234 0.6021 1
Ni1 0.0000 0.5000 0.0000 1